(1)
Entry from the Alexandria database: crystalline PrSc2RuO8 at its relaxed geometry (PBE).

Calculated values
As for the crystal system: monoclinic. The space group is P2/m. For the total energy, the calculation gives -94.07 eV for the cell shown.

Unit cell a=4.9005 b=6.6610 c=4.9114 alpha=90.00 beta=91.47 gamma=90.00
Closest atoms and distances in Å follow each position.
Fractional positions:
Pr 0.0000 0.0000 0.0000  6 O 2.28-2.39
Sc 0.5000 0.2434 0.5000  4 O 2.03-2.10
Sc 0.5000 0.7566 0.5000  4 O 2.03-2.10
Ru 0.0000 0.5000 0.0000  6 O 1.92
O 0.1994 0.2960 0.1960  1 Ru 1.92, 1 Sc 2.10
O 0.1994 0.7040 0.1960  1 Ru 1.92, 1 Sc 2.10
O 0.2721 0.5000 0.7252  1 Ru 1.92
O 0.3226 0.0000 0.6725  2 Sc 2.03
O 0.6774 0.0000 0.3275  2 Sc 2.03
O 0.7279 0.5000 0.2748  1 Ru 1.92
O 0.8006 0.2960 0.8040  1 Ru 1.92, 1 Sc 2.10
O 0.8006 0.7040 0.8040  1 Ru 1.92, 1 Sc 2.10

---

(2)
Entry from the Alexandria database: crystalline Al2HgTe4 at its relaxed geometry (PBE).

Calculated values
As for the crystal system: tetragonal. The space group is P-42m. For the total energy, the calculation gives -22.92 eV for the cell shown. As for the distance to the lowest polymorph of the same formula: 0.11 eV per formula unit.

Unit cell a=6.0281 b=6.0281 c=6.4682 alpha=90.00 beta=90.00 gamma=90.00
Closest atoms and distances in Å follow each position.
Fractional positions:
Al 0.0000 0.5000 0.0000  4 Te 2.68
Al 0.5000 0.0000 0.0000  4 Te 2.68
Hg 0.0000 0.0000 0.5000  4 Te 2.86
Te 0.2761 0.2761 0.7524  2 Al 2.68, 1 Hg 2.86
Te 0.2761 0.7239 0.2476  2 Al 2.68, 1 Hg 2.86
Te 0.7239 0.2761 0.2476  2 Al 2.68, 1 Hg 2.86
Te 0.7239 0.7239 0.7524  2 Al 2.68, 1 Hg 2.86

---

(3)
Entry from the Alexandria database: crystalline K2PRh at its relaxed geometry (PBE).

Calculated values
As for the crystal system: monoclinic. The space group is P2/m. For the formation enthalpy at 0 K, the calculation gives -13.7 kJ per mole of atoms. For the total energy, the calculation gives -15.53 eV for the cell shown.

Unit cell a=4.4074 b=5.0876 c=7.5546 alpha=90.00 beta=90.61 gamma=90.00
Closest atoms and distances in Å follow each position.
Fractional positions:
K 0.2407 0.0000 0.2259  2 Rh 3.24, 2 P 3.28
K 0.7593 0.0000 0.7741  2 Rh 3.24, 2 P 3.28
P 0.5000 0.5000 0.0000  2 Rh 2.20
Rh 0.0000 0.5000 0.0000  2 P 2.20

---

(4)
Entry from the Alexandria database: crystalline AgBiPS2 at its relaxed geometry (PBE).

Calculated values
As for the crystal system: tetragonal. The space group is P4/mmm. For the total energy, the calculation gives -15.83 eV for the cell shown. As for the distance to the lowest polymorph of the same formula: 1.25 eV per formula unit.

Unit cell a=5.2553 b=5.2553 c=5.3564 alpha=90.00 beta=90.00 gamma=90.00
Closest atoms and distances in Å follow each position.
Fractional positions:
Ag 0.0000 0.0000 0.0000  4 P 3.72, 8 S 3.75
Bi 0.5000 0.5000 0.5000  4 S 2.63, 2 P 2.68
P 0.5000 0.5000 0.0000  2 Bi 2.68
S 0.0000 0.5000 0.5000  2 Bi 2.63
S 0.5000 0.0000 0.5000  2 Bi 2.63

---

What did the fourth record say?
Entry from the Alexandria database: crystalline AgBiPS2 at its relaxed geometry (PBE).

Calculated values
As for the crystal system: tetragonal. The space group is P4/mmm. For the total energy, the calculation gives -15.83 eV for the cell shown. As for the distance to the lowest polymorph of the same formula: 1.25 eV per formula unit.

Unit cell a=5.2553 b=5.2553 c=5.3564 alpha=90.00 beta=90.00 gamma=90.00
Closest atoms and distances in Å follow each position.
Fractional positions:
Ag 0.0000 0.0000 0.0000  4 P 3.72, 8 S 3.75
Bi 0.5000 0.5000 0.5000  4 S 2.63, 2 P 2.68
P 0.5000 0.5000 0.0000  2 Bi 2.68
S 0.0000 0.5000 0.5000  2 Bi 2.63
S 0.5000 0.0000 0.5000  2 Bi 2.63

---

Copy entry 3 word for word.
Entry from the Alexandria database: crystalline K2PRh at its relaxed geometry (PBE).

Calculated values
As for the crystal system: monoclinic. The space group is P2/m. For the formation enthalpy at 0 K, the calculation gives -13.7 kJ per mole of atoms. For the total energy, the calculation gives -15.53 eV for the cell shown.

Unit cell a=4.4074 b=5.0876 c=7.5546 alpha=90.00 beta=90.61 gamma=90.00
Closest atoms and distances in Å follow each position.
Fractional positions:
K 0.2407 0.0000 0.2259  2 Rh 3.24, 2 P 3.28
K 0.7593 0.0000 0.7741  2 Rh 3.24, 2 P 3.28
P 0.5000 0.5000 0.0000  2 Rh 2.20
Rh 0.0000 0.5000 0.0000  2 P 2.20

---

> What is the formula in the fourth record?

AgBiPS2